Record 1
Entry from Alexandria via LeMat-Bulk: crystalline Rb2YMn at its relaxed geometry (GGA-PBE).

Summary:
- Relative energy among the computed polymorphs: 0 meV/atom
- Energy of formation from the pure elements: 972 meV/atom
- Density of states at the Fermi level: 19.29 states/eV per cell
- Calculated density: 2.25 Mg/m³

Cell lengths 13.2588, 13.2588, 5.2791 Å; angles 90.00, 90.00, 90.00 degrees
Space group I-42d (No. 122)
Inequivalent atoms, fractional coordinates:
Rb (0.1076, 0.2500, 0.1250)
Y (0.0000, 0.0000, 0.5000)
Mn (0.0000, 0.0000, 0.0000)

---

Record 2
Entry from Alexandria via LeMat-Bulk: crystalline SrGa2AgAu4 at its relaxed geometry (GGA-PBE).

Summary:
- Energy of formation from the pure elements: -324 meV/atom
- Density of states at the Fermi level: 4.92 states/eV per cell
- Calculated density: 11.00 Mg/m³

Cell lengths 4.4957, 4.4957, 29.0636 Å; angles 90.00, 90.00, 120.00 degrees
Space group R-3m (No. 166, hexagonal axes)
Inequivalent atoms, fractional coordinates:
Sr (0.0000, 0.0000, 0.0000)
Ga (0.0000, 0.0000, 0.2425)
Ag (0.0000, 0.0000, 0.5000)
Au (0.0000, 0.0000, 0.1261)
Au (0.0000, 0.0000, 0.4011)

---

Record 3
Entry from Alexandria via LeMat-Bulk: crystalline RbCrS2 at its relaxed geometry (GGA-PBE).

Summary:
- Formation energy from raw total energies: -818 meV/atom
- Density of states at the Fermi level: 23.54 states/eV per cell
- Calculated density: 3.25 Mg/m³

Cell lengths 6.8169, 3.4873, 17.3047 Å; angles 90.00, 90.00, 90.00 degrees
Space group Pnma (No. 62)
Inequivalent atoms, fractional coordinates:
Rb (0.0628, 0.2500, 0.1487)
Cr (0.0745, 0.7500, 0.4297)
S (0.0554, 0.2500, 0.3393)
S (0.2270, 0.2500, 0.5063)

---

Record 4
Entry from Alexandria via LeMat-Bulk: crystalline SrCo3P2 at its relaxed geometry (GGA-PBE).

Summary:
- Energy of formation from the pure elements: -647 meV/atom
- Density of states at the Fermi level: 20.31 states/eV per cell
- Calculated density: 5.96 Mg/m³

Cell lengths 14.3204, 3.7183, 7.4950 Å; angles 90.00, 114.20, 90.00 degrees
Space group C2/m (No. 12)
Inequivalent atoms, fractional coordinates:
Sr (0.1451, 0.0000, 0.0610)
Co (0.0438, 0.0000, 0.3857)
Co (0.0935, 0.5000, 0.6543)
Co (0.1846, 0.5000, 0.4400)
P (0.0224, 0.5000, 0.2276)
P (0.1852, 0.0000, 0.6489)

---

What did the first record say?
Entry from Alexandria via LeMat-Bulk: crystalline Rb2YMn at its relaxed geometry (GGA-PBE).

Summary:
- Relative energy among the computed polymorphs: 0 meV/atom
- Energy of formation from the pure elements: 972 meV/atom
- Density of states at the Fermi level: 19.29 states/eV per cell
- Calculated density: 2.25 Mg/m³

Cell lengths 13.2588, 13.2588, 5.2791 Å; angles 90.00, 90.00, 90.00 degrees
Space group I-42d (No. 122)
Inequivalent atoms, fractional coordinates:
Rb (0.1076, 0.2500, 0.1250)
Y (0.0000, 0.0000, 0.5000)
Mn (0.0000, 0.0000, 0.0000)

---

What is the formula in the fourth record? SrCo3P2

---

Number 2 is which compound? SrGa2AgAu4

---

Number 3 is which compound? RbCrS2